(1)
YZrTa2W | PBE-GGA | optimized geometry

## Properties
energy relative to the elements = 5.9 eV per formula unit
theoretical density = 9.55 g/cm3

The structure in CIF format:
```
data_YZrTa2W
_cell_length_a 4.908
_cell_length_b 4.908
_cell_length_c 5.238
_cell_angle_alpha 90.00
_cell_angle_beta 90.00
_cell_angle_gamma 90.00
_symmetry_space_group_name_H-M 'P 4/m m m'
_symmetry_Int_Tables_number 123
_symmetry_space_group_name_Hall '-P 4 2'
loop_
_atom_site_label
_atom_site_type_symbol
_atom_site_fract_x
_atom_site_fract_y
_atom_site_fract_z
Y1 Y 0.000 0.000 0.000
Zr1 Zr 0.500 0.500 0.000
Ta1 Ta 0.000 0.500 0.500
W1 W 0.000 0.000 0.500
```

(2)
ZnInAg2 | PBE-GGA | optimized geometry

## Properties
energy relative to the elements = 0.1 eV per formula unit
theoretical density = 8.80 g/cm3

The structure in CIF format:
```
data_ZnInAg2
_cell_length_a 9.680
_cell_length_b 3.051
_cell_length_c 5.211
_cell_angle_alpha 90.00
_cell_angle_beta 103.71
_cell_angle_gamma 90.00
_symmetry_space_group_name_H-M 'C 1 2/m 1'
_symmetry_Int_Tables_number 12
loop_
_symmetry_equiv_pos_as_xyz
'x,y,z'
'-x,-y,-z'
'-x,y,-z'
'x,-y,z'
'x+1/2,y+1/2,z'
'-x+1/2,-y+1/2,-z'
'-x+1/2,y+1/2,-z'
'x+1/2,-y+1/2,z'
loop_
_atom_site_label
_atom_site_type_symbol
_atom_site_fract_x
_atom_site_fract_y
_atom_site_fract_z
Zn1 Zn 0.000 0.000 0.000
In1 In 0.000 0.500 0.500
Ag1 Ag 0.239 0.500 0.236
```

(3)
Na4Pu3MnS8 | PBE-GGA | optimized geometry

## Properties
theoretical density = 5.26 g/cm3
E_form (uncorrected) = -1.36 eV/atom

The structure in CIF format:
```
data_Na4Pu3MnS8
_cell_length_a 7.9191
_cell_length_b 7.9191
_cell_length_c 19.8102
_cell_angle_alpha 90.00
_cell_angle_beta 90.00
_cell_angle_gamma 120.00
_symmetry_space_group_name_H-M 'R -3 m'
_symmetry_Int_Tables_number 166
_symmetry_space_group_name_Hall '-R 3 2"'
loop_
_atom_site_label
_atom_site_type_symbol
_atom_site_fract_x
_atom_site_fract_y
_atom_site_fract_z
Na1 Na 0.0000 0.0000 0.0000
Na2 Na 0.0000 0.5000 0.0000
Pu1 Pu 0.0000 0.5000 0.5000
Mn1 Mn 0.0000 0.0000 0.5000
S1 S 0.0000 0.0000 0.2425
S2 S 0.0104 0.5052 0.2399
```

(4)
Be3TlI | PBE-GGA | optimized geometry

## Properties
theoretical density = 5.48 g/cm3
E_form (uncorrected) = 0.96 eV/atom

The structure in CIF format:
```
data_Be3TlI
_cell_length_a 4.772
_cell_length_b 4.772
_cell_length_c 4.772
_cell_angle_alpha 90.00
_cell_angle_beta 90.00
_cell_angle_gamma 90.00
_symmetry_space_group_name_H-M 'P m -3 m'
_symmetry_Int_Tables_number 221
_symmetry_space_group_name_Hall '-P 4 2 3'
loop_
_atom_site_label
_atom_site_type_symbol
_atom_site_fract_x
_atom_site_fract_y
_atom_site_fract_z
Be1 Be 0.000 0.000 0.500
Tl1 Tl 0.000 0.000 0.000
I1 I 0.500 0.500 0.500
```

(5)
RbSr | PBE-GGA | optimized geometry

## Properties
energy relative to the elements = 0.3 eV per formula unit
theoretical density = 2.15 g/cm3

The structure in CIF format:
```
data_RbSr
_cell_length_a 9.012
_cell_length_b 9.012
_cell_length_c 13.187
_cell_angle_alpha 90.00
_cell_angle_beta 90.00
_cell_angle_gamma 90.00
_symmetry_space_group_name_H-M 'I 41/a m d'
_symmetry_Int_Tables_number 141
loop_
_symmetry_equiv_pos_as_xyz
'x,y,z'
'-x,-y,-z'
'-y+1/4,x+3/4,z+1/4'
'y+1/4,-x+3/4,-z+1/4'
'-x+1/2,-y,z+1/2'
'x+1/2,y,-z+1/2'
'y+1/4,-x+1/4,z+3/4'
'-y+1/4,x+1/4,-z+3/4'
'x,-y,-z'
'-x,y,z'
'-y+1/4,-x+1/4,-z+3/4'
'y+1/4,x+1/4,z+3/4'
'-x+1/2,y,-z+1/2'
'x+1/2,-y,z+1/2'
'y+1/4,x+3/4,-z+1/4'
'-y+1/4,-x+3/4,z+1/4'
'x+1/2,y+1/2,z+1/2'
'-x+1/2,-y+1/2,-z+1/2'
'-y+3/4,x+1/4,z+3/4'
'y+3/4,-x+1/4,-z+3/4'
'-x,-y+1/2,z'
'x,y+1/2,-z'
'y+3/4,-x+3/4,z+1/4'
'-y+3/4,x+3/4,-z+1/4'
'x+1/2,-y+1/2,-z+1/2'
'-x+1/2,y+1/2,z+1/2'
'-y+3/4,-x+3/4,-z+1/4'
'y+3/4,x+3/4,z+1/4'
'-x,y+1/2,-z'
'x,-y+1/2,z'
'y+3/4,x+1/4,-z+3/4'
'-y+3/4,-x+1/4,z+3/4'
loop_
_atom_site_label
_atom_site_type_symbol
_atom_site_fract_x
_atom_site_fract_y
_atom_site_fract_z
Rb1 Rb 0.000 0.000 0.000
Sr1 Sr 0.000 0.000 0.500
```

(6)
Sm6Y2Th3 | PBE-GGA | optimized geometry

## Properties
energy relative to the elements = 0.3 eV per formula unit
theoretical density = 8.12 g/cm3

The structure in CIF format:
```
data_Sm6Y2Th3
_cell_length_a 3.6044
_cell_length_b 3.6044
_cell_length_c 96.8472
_cell_angle_alpha 90.00
_cell_angle_beta 90.00
_cell_angle_gamma 120.00
_symmetry_space_group_name_H-M 'R -3 m'
_symmetry_Int_Tables_number 166
_symmetry_space_group_name_Hall '-R 3 2"'
loop_
_atom_site_label
_atom_site_type_symbol
_atom_site_fract_x
_atom_site_fract_y
_atom_site_fract_z
Sm1 Sm 0.0000 0.0000 0.0899
Sm2 Sm 0.0000 0.0000 0.1821
Sm3 Sm 0.0000 0.0000 0.3634
Y1 Y 0.0000 0.0000 0.4544
Th1 Th 0.0000 0.0000 0.0000
Th2 Th 0.0000 0.0000 0.2730
```

(7)
Pr3Dy2TaN6 | PBE-GGA | optimized geometry

## Properties
theoretical density = 9.29 g/cm3
E_form (uncorrected) = -1.40 eV/atom

The structure in CIF format:
```
data_Pr3Dy2TaN6
_cell_length_a 6.021
_cell_length_b 10.418
_cell_length_c 6.109
_cell_angle_alpha 90.00
_cell_angle_beta 109.10
_cell_angle_gamma 90.00
_symmetry_space_group_name_H-M 'C 1 2/m 1'
_symmetry_Int_Tables_number 12
loop_
_symmetry_equiv_pos_as_xyz
'x,y,z'
'-x,-y,-z'
'-x,y,-z'
'x,-y,z'
'x+1/2,y+1/2,z'
'-x+1/2,-y+1/2,-z'
'-x+1/2,y+1/2,-z'
'x+1/2,-y+1/2,z'
loop_
_atom_site_label
_atom_site_type_symbol
_atom_site_fract_x
_atom_site_fract_y
_atom_site_fract_z
Pr1 Pr 0.000 0.000 0.000
Pr2 Pr 0.000 0.333 0.000
Dy1 Dy 0.000 0.167 0.500
Ta1 Ta 0.000 0.500 0.500
N1 N 0.224 0.347 0.714
N2 N 0.234 0.500 0.279
```

(8)
DyNi5Ir2 | PBE-GGA | optimized geometry

## Properties
energy relative to the elements = -0.1 eV per formula unit
theoretical density = 11.85 g/cm3

The structure in CIF format:
```
data_DyNi5Ir2
_cell_length_a 3.719
_cell_length_b 6.707
_cell_length_c 9.440
_cell_angle_alpha 90.00
_cell_angle_beta 90.00
_cell_angle_gamma 90.00
_symmetry_space_group_name_H-M 'I m m m'
_symmetry_Int_Tables_number 71
_symmetry_space_group_name_Hall '-I 2 2'
loop_
_atom_site_label
_atom_site_type_symbol
_atom_site_fract_x
_atom_site_fract_y
_atom_site_fract_z
Dy1 Dy 0.000 0.000 0.000
Ni1 Ni 0.000 0.180 0.370
Ni2 Ni 0.000 0.500 0.000
Ir1 Ir 0.000 0.500 0.257
```

(9)
Ba3PuTl2O8 | PBE-GGA | optimized geometry

## Properties
theoretical density = 7.34 g/cm3
E_form (uncorrected) = -1.96 eV/atom

The structure in CIF format:
```
data_Ba3PuTl2O8
_cell_length_a 6.2289
_cell_length_b 6.2289
_cell_length_c 8.0316
_cell_angle_alpha 90.00
_cell_angle_beta 90.00
_cell_angle_gamma 120.00
_symmetry_space_group_name_H-M 'P -3 m 1'
_symmetry_Int_Tables_number 164
_symmetry_space_group_name_Hall '-P 3 2"'
loop_
_atom_site_label
_atom_site_type_symbol
_atom_site_fract_x
_atom_site_fract_y
_atom_site_fract_z
Ba1 Ba 0.0000 0.0000 0.0000
Ba2 Ba 0.3333 0.6667 0.6257
Pu1 Pu 0.0000 0.0000 0.5000
Tl1 Tl 0.3333 0.6667 0.1852
O1 O 0.1602 0.3205 0.3391
O2 O 0.3333 0.6667 0.9279
```

(10)
Pu6Pb2C | PBE-GGA | optimized geometry

## Properties
energy relative to the elements = -1.2 eV per formula unit
theoretical density = 13.65 g/cm3

The structure in CIF format:
```
data_Pu6Pb2C
_cell_length_a 6.871
_cell_length_b 6.871
_cell_length_c 9.742
_cell_angle_alpha 90.00
_cell_angle_beta 90.00
_cell_angle_gamma 90.00
_symmetry_space_group_name_H-M 'I 4/m m m'
_symmetry_Int_Tables_number 139
_symmetry_space_group_name_Hall '-I 4 2'
loop_
_atom_site_label
_atom_site_type_symbol
_atom_site_fract_x
_atom_site_fract_y
_atom_site_fract_z
Pu1 Pu 0.000 0.000 0.249
Pu2 Pu 0.249 0.249 0.000
Pb1 Pb 0.000 0.500 0.250
C1 C 0.000 0.000 0.000
```

Question: Look up the theoretical density of the ninth one.
Answer: 7.34 g/cm3

Question: Which of these has the lowest theoretical density?
Answer: RbSr

What did the third record say?
Na4Pu3MnS8 | PBE-GGA | optimized geometry

## Properties
theoretical density = 5.26 g/cm3
E_form (uncorrected) = -1.36 eV/atom

The structure in CIF format:
```
data_Na4Pu3MnS8
_cell_length_a 7.9191
_cell_length_b 7.9191
_cell_length_c 19.8102
_cell_angle_alpha 90.00
_cell_angle_beta 90.00
_cell_angle_gamma 120.00
_symmetry_space_group_name_H-M 'R -3 m'
_symmetry_Int_Tables_number 166
_symmetry_space_group_name_Hall '-R 3 2"'
loop_
_atom_site_label
_atom_site_type_symbol
_atom_site_fract_x
_atom_site_fract_y
_atom_site_fract_z
Na1 Na 0.0000 0.0000 0.0000
Na2 Na 0.0000 0.5000 0.0000
Pu1 Pu 0.0000 0.5000 0.5000
Mn1 Mn 0.0000 0.0000 0.5000
S1 S 0.0000 0.0000 0.2425
S2 S 0.0104 0.5052 0.2399
```